# 1
A geometry-optimized NiBr3Cl structure, computed with PBE-GGA.

Computed properties:
**DOS at the Fermi energy**: 0.374 states/eV/atom
**Uncorrected formation energy**: -66 kJ/mol of formula units
**Polymorph energy (0 for the lowest one)**: 0 meV/atom

```
data_NiBr3Cl
_chemical_formula_sum 'Ni2 Br6 Cl2'
_symmetry_space_group_name_H-M 'P 1'
_symmetry_Int_Tables_number 1
_symmetry_space_group_name_Hall 'P 1'
_cell_length_a 5.4441
_cell_length_b 6.8771
_cell_length_c 7.2661
_cell_angle_alpha 90.00
_cell_angle_beta 90.00
_cell_angle_gamma 105.61
loop_
_atom_site_label
_atom_site_fract_x
_atom_site_fract_y
_atom_site_fract_z
Ni1 0.7844 0.9791 0.5524
Ni2 0.7762 0.9866 0.0524
Br1 0.1688 0.2603 0.5524
Br2 0.3918 0.7054 0.0524
Br3 0.6021 0.1388 0.8002
Br4 0.6021 0.1388 0.3045
Br5 0.9585 0.8268 0.3002
Br6 0.9585 0.8268 0.8045
Cl1 0.1212 0.2508 0.0524
Cl2 0.4394 0.7149 0.5524
```

# 2
A geometry-optimized Ac2Nd2Cd15 structure, computed with PBE-GGA.

Computed properties:
**DOS at the Fermi energy**: 0.645 states/eV/atom
**Energy**: -34.83 eV for the cell shown

```
data_Ac2Nd2Cd15
_chemical_formula_sum 'Ac2 Nd2 Cd15'
_symmetry_space_group_name_H-M 'P 1'
_symmetry_Int_Tables_number 1
_symmetry_space_group_name_Hall 'P 1'
_cell_length_a 7.9777
_cell_length_b 7.9777
_cell_length_c 7.9777
_cell_angle_alpha 80.98
_cell_angle_beta 80.98
_cell_angle_gamma 80.98
loop_
_atom_site_label
_atom_site_fract_x
_atom_site_fract_y
_atom_site_fract_z
Ac1 0.3376 0.3376 0.3376
Ac2 0.6624 0.6624 0.6624
Nd1 0.0915 0.0915 0.0915
Nd2 0.9085 0.9085 0.9085
Cd1 0.5000 0.0000 0.0000
Cd2 0.0000 0.0000 0.5000
Cd3 0.0000 0.5000 0.0000
Cd4 0.0000 0.7034 0.2966
Cd5 0.7034 0.2966 0.0000
Cd6 0.2966 0.0000 0.7034
Cd7 0.2966 0.7034 0.0000
Cd8 0.7034 0.0000 0.2966
Cd9 0.0000 0.2966 0.7034
Cd10 0.1542 0.6378 0.6378
Cd11 0.6378 0.6378 0.1542
Cd12 0.6378 0.1542 0.6378
Cd13 0.8458 0.3622 0.3622
Cd14 0.3622 0.3622 0.8458
Cd15 0.3622 0.8458 0.3622
```

# 3
A geometry-optimized Rb2LiTc2O7 structure, computed with PBE-GGA.

Computed properties:
**DOS at the Fermi energy**: 0.299 states/eV/atom
**Uncorrected formation energy**: -1757 kJ/mol of formula units

```
data_Rb2LiTc2O7
_chemical_formula_sum 'Rb2 Li1 Tc2 O7'
_symmetry_space_group_name_H-M 'P 1'
_symmetry_Int_Tables_number 1
_symmetry_space_group_name_Hall 'P 1'
_cell_length_a 3.9004
_cell_length_b 3.9004
_cell_length_c 11.4911
_cell_angle_alpha 80.22
_cell_angle_beta 80.22
_cell_angle_gamma 90.00
loop_
_atom_site_label
_atom_site_fract_x
_atom_site_fract_y
_atom_site_fract_z
Rb1 0.8109 0.8109 0.3780
Rb2 0.1891 0.1891 0.6220
Li1 0.0000 0.0000 0.0000
Tc1 0.5868 0.5868 0.8267
Tc2 0.4132 0.4132 0.1733
O1 0.5000 0.5000 0.0000
O2 0.3289 0.3289 0.3419
O3 0.6711 0.6711 0.6581
O4 0.9158 0.4158 0.1681
O5 0.4158 0.9158 0.1681
O6 0.5842 0.0842 0.8319
O7 0.0842 0.5842 0.8319
```

Q: Which magnetization values were calculated for the entries above? A: 0.00; 0.00; 0.00, in μB/f.u..